# 1
First-principles (GGA-PBE) data for a relaxed structure of La2GaGe2, as listed in the Alexandria database.

Lattice parameters (Å, degrees): 11.4644 4.3225 11.0695 90.00 112.33 90.00
Closest atoms and distances in Å follow each position.
Space group C2/m (No. 12)
Inequivalent atoms, fractional coordinates:
La (0.0909, 0.0000, 0.4108) [4 per cell]  2 Ga 3.10, 6 Ge 3.13-3.47, 1 La 3.37
La (0.2016, 0.5000, 0.1465) [4 per cell]  5 Ge 3.12-3.20, 3 Ga 3.13-3.48
Ga (0.0449, 0.5000, 0.7954) [4 per cell]  3 Ge 2.52-2.57
Ge (0.0611, 0.0000, 0.9263) [4 per cell]  1 Ge 2.52, 2 Ga 2.57
Ge (0.1584, 0.5000, 0.6396) [4 per cell]  1 Ga 2.52

Total energy   -5.1983 eV per atom
D(E_F)   0.30 states/eV per atom
M_tot   0.000 μB/f.u.
V   507.4 Å³ per cell
Formation energy from the elements   -775 meV/atom

=====

# 2
First-principles (GGA-PBE) data for a relaxed structure of CoRh2, as listed in the Alexandria database.

Lattice parameters (Å, degrees): 2.6738 2.6738 12.8690 90.00 90.00 120.00
Closest atoms and distances in Å follow each position.
Space group P-3m1 (No. 164)
Inequivalent atoms, fractional coordinates:
Co (0.3333, 0.6667, 0.0744) [2 per cell]  9 Co 2.46-2.67, 3 Rh 2.61
Rh (0.0000, 0.0000, 0.2377) [2 per cell]  3 Co 2.61, 9 Rh 2.67-2.74
Rh (0.3333, 0.6667, 0.5866) [2 per cell]  12 Rh 2.67-2.74

Total energy   -7.2179 eV per atom
D(E_F)   1.28 states/eV per atom
M_tot   1.948 μB/f.u.
V   79.7 Å³ per cell
Formation energy from the elements   52 meV/atom

=====

# 3
First-principles (GGA-PBE) data for a relaxed structure of TmLuIrRh, as listed in the Alexandria database.

Lattice parameters (Å, degrees): 6.7306 6.7306 6.7306 90.00 90.00 90.00
Closest atoms and distances in Å follow each position.
Space group F-43m (No. 216)
Inequivalent atoms, fractional coordinates:
Tm (0.0000, 0.0000, 0.0000) [4 per cell]  4 Ir 2.91, 4 Rh 2.91
Lu (0.0000, 0.0000, 0.5000) [4 per cell]  4 Rh 2.91, 4 Ir 2.91
Ir (0.2500, 0.2500, 0.2500) [4 per cell]  4 Tm 2.91, 4 Lu 2.91
Rh (0.2500, 0.2500, 0.7500) [4 per cell]  4 Tm 2.91, 4 Lu 2.91

Total energy   -7.2896 eV per atom
D(E_F)   0.46 states/eV per atom
M_tot   0.000 μB/f.u.
V   304.9 Å³ per cell
Formation energy from the elements   -988 meV/atom

=====

# 4
First-principles (GGA-PBE) data for a relaxed structure of La2RuCl, as listed in the Alexandria database.

Lattice parameters (Å, degrees): 3.4678 3.4585 8.2014 90.00 90.20 90.00
Closest atoms and distances in Å follow each position.
Space group P2/m (No. 10)
Inequivalent atoms, fractional coordinates:
La (0.0068, 0.0000, 0.2181) [2 per cell]  4 Ru 3.02-3.04, 4 Cl 3.35-3.38
Ru (0.5000, 0.5000, 0.0000) [1 per cell]  8 La 3.02-3.04
Cl (0.5000, 0.5000, 0.5000) [1 per cell]  8 La 3.35-3.38, 4 Cl 3.46-3.47

Total energy   -6.1683 eV per atom
D(E_F)   0.48 states/eV per atom
M_tot   0.000 μB/f.u.
Distance to the lowest polymorph of the same formula   8.2 kJ/mol of atoms
V   98.4 Å³ per cell
Raw formation energy   -0.924 eV per atom

=====

# 5
First-principles (GGA-PBE) data for a relaxed structure of CaAcTh2Pt4, as listed in the Alexandria database.

Lattice parameters (Å, degrees): 5.9658 5.9658 11.9391 90.00 90.00 90.00
Closest atoms and distances in Å follow each position.
Space group I4/mmm (No. 139)
Inequivalent atoms, fractional coordinates:
Ca (0.0000, 0.0000, 0.0000) [2 per cell]  6 Pt 2.93-2.98
Ac (0.0000, 0.0000, 0.5000) [2 per cell]  6 Pt 2.98-3.04
Th (0.0000, 0.5000, 0.2500) [4 per cell]  6 Pt 2.98
Pt (0.0000, 0.0000, 0.2453) [4 per cell]  1 Ca 2.93, 4 Th 2.98, 1 Ac 3.04
Pt (0.0000, 0.5000, 0.0000) [4 per cell]  2 Ac 2.98, 2 Ca 2.98, 2 Th 2.98

Total energy   -6.7221 eV per atom
D(E_F)   0.63 states/eV per atom
M_tot   0.000 μB/f.u.
V   424.9 Å³ per cell
Formation energy from the elements   -1083 meV/atom

=====

# 6
First-principles (GGA-PBE) data for a relaxed structure of K4TeO, as listed in the Alexandria database.

Lattice parameters (Å, degrees): 7.5310 7.8592 6.8775 90.00 90.01 90.00
Closest atoms and distances in Å follow each position.
Space group P2_1/c (No. 14)
Inequivalent atoms, fractional coordinates:
K (0.1272, 0.2462, 0.2464) [4 per cell]  2 O 2.78-2.79
K (0.3115, 0.6132, 0.0024) [4 per cell]  1 O 2.51
Te (0.5000, 0.0000, 0.0000) [2 per cell]  2 K 3.36
O (0.0000, 0.0000, 0.5000) [2 per cell]  6 K 2.51-2.79

Total energy   -3.0652 eV per atom
M_tot   0.095 μB/f.u.
Distance to the lowest polymorph of the same formula   0.0 kJ/mol of atoms
V   407.1 Å³ per cell
Raw formation energy   -0.984 eV per atom

=====

# 7
First-principles (GGA-PBE) data for a relaxed structure of AsPtPb2, as listed in the Alexandria database.

Lattice parameters (Å, degrees): 7.1137 4.0969 7.2254 90.00 109.14 90.00
Closest atoms and distances in Å follow each position.
Space group C2/m (No. 12)
Inequivalent atoms, fractional coordinates:
As (0.0000, 0.0000, 0.0000) [2 per cell]  6 Pb 2.98
Pt (0.0000, 0.5000, 0.5000) [2 per cell]  6 Pb 2.86
Pb (0.2450, 0.0000, 0.7346) [4 per cell]  3 Pt 2.86, 3 As 2.98

Total energy   -4.5107 eV per atom
D(E_F)   0.62 states/eV per atom
M_tot   0.000 μB/f.u.
V   198.9 Å³ per cell
Formation energy from the elements   16 meV/atom

=====

# 8
First-principles (GGA-PBE) data for a relaxed structure of Cs3FeI5, as listed in the Alexandria database.

Lattice parameters (Å, degrees): 10.5315 10.5315 16.3415 90.00 90.00 90.00
Closest atoms and distances in Å follow each position.
Space group I4/mcm (No. 140)
Inequivalent atoms, fractional coordinates:
Cs (0.0000, 0.0000, 0.2500) [4 per cell]  10 I 4.09-4.34
Cs (0.1601, 0.3399, 0.0000) [8 per cell]  8 I 3.89-4.07
Fe (0.0000, 0.5000, 0.2500) [4 per cell]  4 I 2.62
I (0.0000, 0.0000, 0.0000) [4 per cell]  6 Cs 3.96-4.09
I (0.1419, 0.3581, 0.3452) [16 per cell]  1 Fe 2.62

Total energy   -3.1752 eV per atom
D(E_F)   0.80 states/eV per atom
M_tot   4.000 μB/f.u.
V   1812.5 Å³ per cell
Raw formation energy   -1.089 eV per atom

=====

# 9
First-principles (GGA-PBE) data for a relaxed structure of Mg2TcAu, as listed in the Alexandria database.

Lattice parameters (Å, degrees): 7.2936 7.2936 5.6709 90.00 90.00 90.00
Closest atoms and distances in Å follow each position.
Space group I-42d (No. 122)
Inequivalent atoms, fractional coordinates:
Mg (0.2389, 0.7500, 0.1250) [8 per cell]  2 Au 2.62, 2 Tc 2.73, 2 Mg 2.84
Tc (0.0000, 0.0000, 0.5000) [4 per cell]  4 Mg 2.73, 2 Au 2.84
Au (0.0000, 0.0000, 0.0000) [4 per cell]  4 Mg 2.62, 2 Tc 2.84

Total energy   -3.8468 eV per atom
D(E_F)   0.48 states/eV per atom
M_tot   1.802 μB/f.u.
Distance to the lowest polymorph of the same formula   41.0 kJ/mol of atoms
V   301.7 Å³ per cell
Formation energy from the elements   361 meV/atom

=====

# 10
First-principles (GGA-PBE) data for a relaxed structure of LaSnOs, as listed in the Alexandria database.

Lattice parameters (Å, degrees): 4.5172 4.3436 8.1647 90.00 94.20 90.00
Closest atoms and distances in Å follow each position.
Space group P2_1/m (No. 11)
Inequivalent atoms, fractional coordinates:
La (0.0303, 0.2500, 0.2078) [2 per cell]  6 Os 3.17-3.36, 2 Sn 3.43
Sn (0.4199, 0.2500, 0.6010) [2 per cell]  1 Os 2.72, 2 Sn 2.85
Os (0.4968, 0.2500, 0.9339) [2 per cell]  2 Os 2.42, 1 Sn 2.72

Total energy   -7.0563 eV per atom
D(E_F)   0.52 states/eV per atom
M_tot   0.000 μB/f.u.
V   159.8 Å³ per cell
Formation energy from the elements   -336 meV/atom

=====

# 11
First-principles (GGA-PBE) data for a relaxed structure of Li3AlCu4, as listed in the Alexandria database.

Lattice parameters (Å, degrees): 3.8855 3.8855 13.6877 90.00 90.00 90.00
Closest atoms and distances in Å follow each position.
Space group I4/mmm (No. 139)
Inequivalent atoms, fractional coordinates:
Li (0.0000, 0.0000, 0.0000) [2 per cell]  8 Cu 2.55, 4 Al 2.75
Li (0.0000, 0.0000, 0.2516) [4 per cell]  8 Cu 2.62-2.65, 4 Li 2.75
Al (0.0000, 0.0000, 0.5000) [2 per cell]  8 Cu 2.55, 4 Li 2.75
Cu (0.0000, 0.5000, 0.1202) [8 per cell]  2 Al 2.55, 6 Li 2.55-2.65, 4 Cu 2.75

Total energy   -3.3350 eV per atom
D(E_F)   0.15 states/eV per atom
M_tot   0.000 μB/f.u.
Distance to the lowest polymorph of the same formula   0.0 kJ/mol of atoms
V   206.6 Å³ per cell
Formation energy from the elements   -101 meV/atom

=====

# 12
First-principles (GGA-PBE) data for a relaxed structure of Er4MgSb2, as listed in the Alexandria database.

Lattice parameters (Å, degrees): 6.2707 6.5197 9.7727 90.00 92.43 90.00
Closest atoms and distances in Å follow each position.
Space group P2_1/m (No. 11)
Inequivalent atoms, fractional coordinates:
Er (0.0431, 0.2500, 0.2418) [2 per cell]  2 Sb 2.92-2.95
Er (0.1604, 0.7500, 0.4331) [2 per cell]  4 Sb 3.19-3.46, 1 Er 3.47, 1 Mg 3.53
Er (0.4407, 0.5080, 0.7552) [4 per cell]  4 Sb 3.07-3.28, 3 Er 3.16-3.42, 1 Mg 3.31
Mg (0.1810, 0.7500, 0.0724) [2 per cell]  2 Sb 3.04-3.38, 3 Er 3.31-3.32
Sb (0.2958, 0.2500, 0.9972) [2 per cell]  3 Er 2.92-3.07, 1 Mg 3.04
Sb (0.3293, 0.2500, 0.4891) [2 per cell]  7 Er 2.95-3.26

Total energy   -4.4624 eV per atom
D(E_F)   1.17 states/eV per atom
M_tot   0.036 μB/f.u.
V   399.2 Å³ per cell
Raw formation energy   -0.449 eV per atom